# NaCdOF PBE relaxed
# Electronic total energy ... -4.02 eV per atom
# Size of the total moment ... 0.00 μB/cell
# Raw formation energy ... -7.00 eV/f.u.
# ρ ... 5.01 g/cm³
data_NaCdOF
_chemical_formula_sum 'Na1 Cd1 O1 F1'
_cell_length_a 5.851
_cell_length_b 5.851
_cell_length_c 5.851
_cell_angle_alpha 34.21
_cell_angle_beta 34.21
_cell_angle_gamma 34.21
_symmetry_space_group_name_H-M 'P 1'
_symmetry_Int_Tables_number 1
_symmetry_space_group_name_Hall 'P 1'
loop_
_atom_site_label
_atom_site_type_symbol
_atom_site_fract_x
_atom_site_fract_y
_atom_site_fract_z
Na1 Na 0.000 0.000 0.000
Cd1 Cd 0.515 0.515 0.515
O1 O 0.242 0.242 0.242
F1 F 0.748 0.748 0.748